VASP calculation (GGA-PBEsol) on a relaxed structure of Ca2Mg.

CIF file:
```
data_Ca2Mg
_chemical_formula_sum 'Ca2 Mg1'
_cell_length_a 3.9100
_cell_length_b 3.9100
_cell_length_c 7.1950
_cell_angle_alpha 105.77
_cell_angle_beta 105.77
_cell_angle_gamma 90.00
_space_group_name_H-M_alt 'P 1'
_space_group_IT_number 1
_space_group_name_Hall 'P 1'
loop_
_atom_site_label
_atom_site_type_symbol
_atom_site_fract_x
_atom_site_fract_y
_atom_site_fract_z
Mg1 Mg 0.0000 0.0000 0.0000
Ca1 Ca 0.6482 0.6482 0.2963
Ca2 Ca 0.3518 0.3518 0.7037
```

Computed properties:
Space-group type: I4/mmm
ΔE_f, meV/atom: -54
Electronic total energy, eV per atom: -2.048

VASP calculation (GGA-PBEsol) on a relaxed structure of Mg2BiAuBr.

CIF file:
```
data_Mg2BiAuBr
_chemical_formula_sum 'Mg2 Bi1 Au1 Br1'
_cell_length_a 5.1653
_cell_length_b 5.1653
_cell_length_c 5.2048
_cell_angle_alpha 90.00
_cell_angle_beta 90.00
_cell_angle_gamma 90.00
_space_group_name_H-M_alt 'P 1'
_space_group_IT_number 1
_space_group_name_Hall 'P 1'
loop_
_atom_site_label
_atom_site_type_symbol
_atom_site_fract_x
_atom_site_fract_y
_atom_site_fract_z
Au1 Au 0.0000 0.0000 0.0000
Br1 Br 0.0000 0.0000 0.5000
Mg1 Mg 0.5000 0.0000 0.0000
Mg2 Mg 0.0000 0.5000 0.0000
Bi1 Bi 0.5000 0.5000 0.5000
```

Computed properties:
Space-group type: P4/mmm
Electronic total energy, eV per atom: -2.561

Repeat the second record exactly.
VASP calculation (GGA-PBEsol) on a relaxed structure of Mg2BiAuBr.

CIF file:
```
data_Mg2BiAuBr
_chemical_formula_sum 'Mg2 Bi1 Au1 Br1'
_cell_length_a 5.1653
_cell_length_b 5.1653
_cell_length_c 5.2048
_cell_angle_alpha 90.00
_cell_angle_beta 90.00
_cell_angle_gamma 90.00
_space_group_name_H-M_alt 'P 1'
_space_group_IT_number 1
_space_group_name_Hall 'P 1'
loop_
_atom_site_label
_atom_site_type_symbol
_atom_site_fract_x
_atom_site_fract_y
_atom_site_fract_z
Au1 Au 0.0000 0.0000 0.0000
Br1 Br 0.0000 0.0000 0.5000
Mg1 Mg 0.5000 0.0000 0.0000
Mg2 Mg 0.0000 0.5000 0.0000
Bi1 Bi 0.5000 0.5000 0.5000
```

Computed properties:
Space-group type: P4/mmm
Electronic total energy, eV per atom: -2.561

Which formula does entry 2 have? Mg2BiAuBr

Among the records above, which one has the lowest electronic total energy? Mg2BiAuBr